1.
Entry from the Alexandria database: AgTeHI2 after structural relaxation (PBE-GGA).

Summary:
- E: -2.067 eV per atom
- Distance to the lowest polymorph of the same formula: 0 meV per atom
- Volume: 26.1 Å³ per atom
- Size of the total moment: 0.00 μB/cell

Cell lengths 5.8117, 5.8117, 3.8680 Å; angles 90.00, 90.00, 90.00 degrees
Fractional coordinates of all 5 atoms:
I: 0.5000 0.0000 0.0000
Te: 0.0000 0.0000 0.5000
I: 0.0000 0.5000 0.0000
H: 0.0000 0.0000 0.0000
Ag: 0.5000 0.5000 0.5000

***

2.
Entry from the Alexandria database: SrMoW2 after structural relaxation (PBE-GGA).

Summary:
- E: -8.842 eV per atom
- Formation energy: 3.05 eV per formula unit
- Distance to the lowest polymorph of the same formula: 25 meV per atom
- Volume: 19.0 Å³ per atom
- Size of the total moment: 0.00 μB/cell

Cell lengths 2.8369, 2.8369, 9.9687 Å; angles 90.00, 90.00, 109.10 degrees
Fractional coordinates of all 4 atoms:
Mo: 0.5000 0.5000 0.2500
W: 0.0000 0.0000 0.0363
W: 0.0000 0.0000 0.4637
Sr: 0.5000 0.5000 0.7500

***

3.
Entry from the Alexandria database: Zn4In5 after structural relaxation (PBE-GGA).

Summary:
- E: -1.980 eV per atom
- Formation energy: 0.97 eV per formula unit
- Distance to the lowest polymorph of the same formula: 0 meV per atom
- Volume: 22.0 Å³ per atom
- Size of the total moment: 0.00 μB/cell

Cell lengths 6.9533, 6.9533, 6.9533 Å; angles 96.28, 96.28, 141.38 degrees
Fractional coordinates of all 9 atoms:
In: 0.3271 0.3271 0.6543
In: 0.0000 0.0000 0.0000
Zn: 0.0000 0.6428 0.6428
In: 0.3271 0.6729 0.0000
In: 0.6729 0.3271 0.0000
Zn: 0.6428 0.0000 0.6428
Zn: 0.0000 0.3572 0.3572
In: 0.6729 0.6729 0.3457
Zn: 0.3572 0.0000 0.3572

***

4.
Entry from the Alexandria database: SrUPt4 after structural relaxation (PBE-GGA).

Summary:
- E: -6.866 eV per atom
- Formation energy: -4.06 eV per formula unit
- Volume: 19.6 Å³ per atom
- Size of the total moment: 2.49 μB/cell

Cell lengths 5.4966, 5.4966, 5.4966 Å; angles 60.00, 60.00, 60.00 degrees
Fractional coordinates of all 6 atoms:
U: 0.0000 0.0000 0.0000
Sr: 0.2500 0.2500 0.2500
Pt: 0.6252 0.1245 0.6252
Pt: 0.1245 0.6252 0.6252
Pt: 0.6252 0.6252 0.1245
Pt: 0.6252 0.6252 0.6252

***

5.
Entry from the Alexandria database: Ce6H2C3O after structural relaxation (PBE-GGA).

Summary:
- E: -6.988 eV per atom
- Volume: 16.6 Å³ per atom
- Size of the total moment: 1.95 μB/cell

Cell lengths 3.5915, 7.2602, 8.0479 Å; angles 103.32, 102.89, 90.00 degrees
Fractional coordinates of all 12 atoms:
C: 0.8368 0.1638 0.6737
C: 0.1632 0.8362 0.3263
Ce: 0.6669 0.0772 0.3337
Ce: 0.0002 0.2484 0.0005
O: 0.5000 0.0000 0.0000
Ce: 0.9998 0.7516 0.9995
Ce: 0.3375 0.4053 0.6750
Ce: 0.3331 0.9228 0.6663
H: 0.8312 0.6615 0.6624
Ce: 0.6625 0.5947 0.3250
C: 0.5000 0.5000 0.0000
H: 0.1688 0.3385 0.3376

***

6.
Entry from the Alexandria database: TbY3Bi3 after structural relaxation (PBE-GGA).

Summary:
- E: -5.785 eV per atom
- Formation energy: -4.83 eV per formula unit
- Distance to the lowest polymorph of the same formula: 74 meV per atom
- Volume: 32.5 Å³ per atom
- Size of the total moment: 0.00 μB/cell

Cell lengths 9.1328, 9.1328, 8.2111 Å; angles 56.21, 56.21, 60.00 degrees
Fractional coordinates of all 14 atoms:
Y: 0.6607 0.1758 0.2466
Bi: 0.0825 0.6955 0.7476
Bi: 0.9175 0.3045 0.2524
Bi: 0.3045 0.5257 0.2524
Y: 0.8242 0.0831 0.7534
Tb: 0.3333 0.3333 0.0001
Y: 0.9169 0.6607 0.2466
Y: 0.1758 0.9169 0.2466
Tb: 0.6667 0.6667 0.9999
Bi: 0.4743 0.0825 0.7476
Bi: 0.6955 0.4743 0.7476
Y: 0.0831 0.3393 0.7534
Bi: 0.5257 0.9175 0.2524
Y: 0.3393 0.8242 0.7534

***

7.
Entry from the Alexandria database: AcNd2Ho5 after structural relaxation (PBE-GGA).

Summary:
- E: -4.529 eV per atom
- Formation energy: 0.30 eV per formula unit
- Distance to the lowest polymorph of the same formula: 7 meV per atom
- Volume: 33.6 Å³ per atom
- Size of the total moment: 0.00 μB/cell

Cell lengths 5.1275, 7.2340, 14.4874 Å; angles 90.00, 90.00, 90.00 degrees
Fractional coordinates of all 16 atoms:
Ho: 0.0000 0.5056 0.7466
Nd: 0.5000 0.7426 0.3716
Nd: 0.5000 0.2574 0.6284
Ho: 0.5000 0.2512 0.8725
Ac: 0.0000 0.0000 0.5000
Nd: 0.5000 0.7574 0.8716
Ho: 0.5000 0.2488 0.3725
Ho: 0.5000 0.7488 0.1275
Ho: 0.0000 0.4944 0.2534
Ho: 0.5000 0.7512 0.6275
Nd: 0.5000 0.2426 0.1284
Ho: 0.0000 0.5000 0.5000
Ho: 0.0000 0.0056 0.7534
Ho: 0.0000 0.0000 0.0000
Ac: 0.0000 0.5000 0.0000
Ho: 0.0000 0.9944 0.2466

***

8.
Entry from the Alexandria database: Nd3BeC2N6 after structural relaxation (PBE-GGA).

Summary:
- E: -7.800 eV per atom
- Volume: 12.6 Å³ per atom
- Size of the total moment: 0.00 μB/cell
- Raw formation energy: -58 kJ/mol of atoms

Cell lengths 5.2175, 5.2175, 6.4182 Å; angles 90.00, 90.00, 120.00 degrees
Fractional coordinates of all 12 atoms:
N: 0.1813 0.8187 0.2952
N: 0.1813 0.3626 0.2952
C: 0.3333 0.6667 0.2859
N: 0.6374 0.8187 0.2952
Nd: 0.0000 0.0000 0.0000
Nd: 0.6667 0.3333 0.3315
Nd: 0.3333 0.6667 0.6685
Be: 0.0000 0.0000 0.5000
N: 0.8187 0.6374 0.7048
N: 0.8187 0.1813 0.7048
N: 0.3626 0.1813 0.7048
C: 0.6667 0.3333 0.7141

***

9.
Entry from the Alexandria database: HfNiB2 after structural relaxation (PBE-GGA).

Summary:
- E: -8.022 eV per atom
- Formation energy: -3.00 eV per formula unit
- Distance to the lowest polymorph of the same formula: 0 meV per atom
- Volume: 10.3 Å³ per atom
- Size of the total moment: 0.00 μB/cell

Cell lengths 3.3588, 5.5358, 8.8911 Å; angles 90.00, 90.00, 90.00 degrees
Fractional coordinates of all 16 atoms:
B: 0.2500 0.2066 0.1646
Ni: 0.2500 0.1328 0.5612
B: 0.7500 0.9727 0.6731
B: 0.7500 0.4727 0.8269
Ni: 0.2500 0.6328 0.9388
Ni: 0.7500 0.8672 0.4388
B: 0.7500 0.7934 0.8354
B: 0.7500 0.2934 0.6646
B: 0.2500 0.0273 0.3269
Hf: 0.7500 0.3668 0.3642
B: 0.2500 0.5273 0.1731
Hf: 0.2500 0.6332 0.6358
Ni: 0.7500 0.3672 0.0612
B: 0.2500 0.7066 0.3354
Hf: 0.2500 0.1332 0.8642
Hf: 0.7500 0.8668 0.1358

***

10.
Entry from the Alexandria database: BaPr2Rh after structural relaxation (PBE-GGA).

Summary:
- E: -4.934 eV per atom
- Formation energy: -0.90 eV per formula unit
- Distance to the lowest polymorph of the same formula: 104 meV per atom
- Volume: 34.4 Å³ per atom
- Size of the total moment: 0.00 μB/cell

Cell lengths 3.6835, 3.6835, 10.1406 Å; angles 90.00, 90.00, 90.00 degrees
Fractional coordinates of all 4 atoms:
Pr: 0.0000 0.0000 0.1624
Ba: 0.5000 0.5000 0.5000
Pr: 0.0000 0.0000 0.8376
Rh: 0.5000 0.5000 0.0000

***

11.
Entry from the Alexandria database: MnGe2Te6Au after structural relaxation (PBE-GGA).

Summary:
- E: -4.046 eV per atom
- Volume: 30.6 Å³ per atom
- Size of the total moment: 8.04 μB/cell
- Raw formation energy: 1 kJ/mol of atoms

Cell lengths 7.2816, 9.4429, 9.4429 Å; angles 82.64, 76.68, 76.68 degrees
Fractional coordinates of all 20 atoms:
Te: 0.3914 0.9003 0.3616
Te: 0.6253 0.8280 0.9594
Te: 0.1253 0.9594 0.8280
Te: 0.9345 0.7128 0.5241
Ge: 0.2745 0.3857 0.2307
Te: 0.8914 0.3616 0.9003
Ge: 0.7745 0.2307 0.3857
Te: 0.5655 0.4759 0.2872
Mn: 0.7500 0.1046 0.8954
Te: 0.8747 0.0406 0.1720
Te: 0.4345 0.5241 0.7128
Te: 0.6086 0.0997 0.6384
Mn: 0.2500 0.8954 0.1046
Te: 0.3747 0.1720 0.0406
Au: 0.2500 0.2546 0.7454
Te: 0.1086 0.6384 0.0997
Ge: 0.7255 0.6143 0.7693
Te: 0.0655 0.2872 0.4759
Ge: 0.2255 0.7693 0.6143
Au: 0.7500 0.7454 0.2546

***

12.
Entry from the Alexandria database: SrSnPt after structural relaxation (PBE-GGA).

Summary:
- E: -4.760 eV per atom
- Formation energy: -2.55 eV per formula unit
- Volume: 27.1 Å³ per atom
- Size of the total moment: 0.00 μB/cell

Cell lengths 6.8577, 6.7225, 7.3820 Å; angles 107.25, 90.00, 90.00 degrees
Fractional coordinates of all 12 atoms:
Sr: 0.6376 0.2074 0.4196
Pt: 0.9066 0.0521 0.6843
Sr: 0.1376 0.2926 0.0804
Pt: 0.4066 0.4479 0.8157
Sr: 0.3624 0.7926 0.5804
Sn: 0.8753 0.6749 0.4328
Sn: 0.6247 0.1749 0.9328
Pt: 0.0934 0.9479 0.3157
Sn: 0.3753 0.8251 0.0672
Sr: 0.8624 0.7074 0.9196
Pt: 0.5934 0.5521 0.1843
Sn: 0.1247 0.3251 0.5672

***

Q: Among the records above, which one has the highest volume?
A: BaPr2Rh

***

Q: Which of these has the lowest E?
A: SrMoW2